A plane-wave DFT calculation with PBE was carried out for crystalline Y2NiAs2Pd at its relaxed geometry.

```
Y2NiAs2Pd
1.0
7.671 0.000 0.000
0.000 4.410 0.000
-2.468 0.000 14.429
Y Ni As Pd
8 4 8 4
Direct
0.000 0.000 0.000
0.005 0.500 0.494
0.240 0.000 0.739
0.247 0.500 0.244
0.486 0.000 0.487
0.499 0.500 0.000
0.745 0.000 0.241
0.755 0.500 0.742
0.061 0.000 0.185
0.061 0.500 0.678
0.308 0.500 0.428
0.559 0.500 0.184
0.122 0.500 0.863
0.127 0.000 0.365
0.363 0.500 0.612
0.373 0.000 0.125
0.611 0.500 0.364
0.622 0.000 0.868
0.876 0.500 0.125
0.881 0.000 0.619
0.309 0.000 0.931
0.559 0.000 0.678
0.809 0.000 0.430
0.811 0.500 0.933
```

Density: 6.70 g/cm³
Size of the total moment: 0.010 μB per cell
Electronic total energy: -156.07 eV for the cell shown